Version A
Entry from the Alexandria database: a geometry-optimized TiIrPb2 structure (PBE).

Summary:
symmetry	Fm-3m (225)

abc: 6.877 6.877 6.877
angles: 90.00 90.00 90.00
Element x y z (fractional)
Ti: 0.000 0.000 0.000
Ti: 0.000 0.500 0.500
Ti: 0.500 0.000 0.500
Ti: 0.500 0.500 0.000
Ir: 0.000 0.000 0.500
Ir: 0.000 0.500 0.000
Ir: 0.500 0.000 0.000
Ir: 0.500 0.500 0.500
Pb: 0.250 0.250 0.250
Pb: 0.250 0.250 0.750
Pb: 0.250 0.750 0.250
Pb: 0.250 0.750 0.750
Pb: 0.750 0.250 0.250
Pb: 0.750 0.250 0.750
Pb: 0.750 0.750 0.250
Pb: 0.750 0.750 0.750


Version B
Entry from the Alexandria database: a geometry-optimized TiIrPb2 structure (PBE).

Summary:
symmetry	I-42d (122)

abc: 6.335 6.335 12.488
angles: 90.00 90.00 90.00
Element x y z (fractional)
Ti: 0.000 0.000 0.000
Ti: 0.000 0.500 0.250
Ti: 0.500 0.000 0.750
Ti: 0.500 0.500 0.500
Ir: 0.000 0.000 0.500
Ir: 0.000 0.500 0.750
Ir: 0.500 0.000 0.250
Ir: 0.500 0.500 0.000
Pb: 0.224 0.250 0.625
Pb: 0.250 0.724 0.875
Pb: 0.250 0.776 0.375
Pb: 0.276 0.250 0.125
Pb: 0.724 0.750 0.125
Pb: 0.750 0.224 0.375
Pb: 0.750 0.276 0.875
Pb: 0.776 0.750 0.625


Short version: version A is the most stable of them.


Version A
Entry from the Alexandria database: a geometry-optimized TiIr3Pb structure (PBE).

Summary:
symmetry	Pm-3m (221)

abc: 4.687 4.687 4.687
angles: 90.00 90.00 90.00
Element x y z (fractional)
Ti: 0.000 0.000 0.000
Ir: 0.000 0.000 0.500
Ir: 0.000 0.500 0.000
Ir: 0.500 0.000 0.000
Pb: 0.500 0.500 0.500


Version B
Entry from the Alexandria database: a geometry-optimized TiIr3Pb structure (PBE).

Summary:
symmetry	Pm-3m (221)

abc: 4.905 4.905 4.905
angles: 90.00 90.00 90.00
Element x y z (fractional)
Ti: 0.000 0.000 0.000
Ir: 0.000 0.500 0.500
Ir: 0.500 0.000 0.500
Ir: 0.500 0.500 0.000
Pb: 0.500 0.500 0.500


Short version: version A is the most stable of them.


Version A
Entry from the Alexandria database: a geometry-optimized TlIr2Pb structure (PBE).

Summary:
symmetry	F-43m (216)

abc: 6.800 6.800 6.800
angles: 90.00 90.00 90.00
Element x y z (fractional)
Tl: 0.000 0.000 0.000
Tl: 0.000 0.500 0.500
Tl: 0.500 0.000 0.500
Tl: 0.500 0.500 0.000
Ir: 0.000 0.000 0.500
Ir: 0.000 0.500 0.000
Ir: 0.250 0.250 0.250
Ir: 0.250 0.750 0.750
Ir: 0.500 0.000 0.000
Ir: 0.500 0.500 0.500
Ir: 0.750 0.250 0.750
Ir: 0.750 0.750 0.250
Pb: 0.250 0.250 0.750
Pb: 0.250 0.750 0.250
Pb: 0.750 0.250 0.250
Pb: 0.750 0.750 0.750


Version B
Entry from the Alexandria database: a geometry-optimized TlIr2Pb structure (PBE).

Summary:
symmetry	C2/m (12)

abc: 8.776 3.254 5.604
angles: 90.00 102.51 90.00
Element x y z (fractional)
Tl: 0.000 0.000 0.000
Tl: 0.500 0.500 0.000
Ir: 0.249 0.500 0.252
Ir: 0.251 0.000 0.748
Ir: 0.749 0.000 0.252
Ir: 0.751 0.500 0.748
Pb: 0.000 0.500 0.500
Pb: 0.500 0.000 0.500


Version C
Entry from the Alexandria database: a geometry-optimized TlIr2Pb structure (PBE).

Summary:
symmetry	P2/m (10)

abc: 3.165 3.795 6.319
angles: 90.00 90.00 90.00
Element x y z (fractional)
Tl: 0.000 0.000 0.000
Ir: 0.498 0.500 0.245
Ir: 0.502 0.500 0.755
Pb: 0.000 0.000 0.500


Short version: version C is the most stable of them.


Version A
Entry from the Alexandria database: a geometry-optimized TlIr2Pb structure (PBE).

Summary:
symmetry	I-42d (122)

abc: 6.171 6.171 12.217
angles: 90.00 90.00 90.00
Element x y z (fractional)
Tl: 0.000 0.000 0.000
Tl: 0.000 0.500 0.250
Tl: 0.500 0.000 0.750
Tl: 0.500 0.500 0.500
Ir: 0.247 0.250 0.625
Ir: 0.250 0.747 0.875
Ir: 0.250 0.753 0.375
Ir: 0.253 0.250 0.125
Ir: 0.747 0.750 0.125
Ir: 0.750 0.247 0.375
Ir: 0.750 0.253 0.875
Ir: 0.753 0.750 0.625
Pb: 0.000 0.000 0.500
Pb: 0.000 0.500 0.750
Pb: 0.500 0.000 0.250
Pb: 0.500 0.500 0.000


Version B
Entry from the Alexandria database: a geometry-optimized TlIr2Pb structure (PBE).

Summary:
symmetry	Fm-3m (225)

abc: 6.728 6.728 6.728
angles: 90.00 90.00 90.00
Element x y z (fractional)
Tl: 0.000 0.000 0.000
Tl: 0.000 0.500 0.500
Tl: 0.500 0.000 0.500
Tl: 0.500 0.500 0.000
Ir: 0.250 0.250 0.250
Ir: 0.250 0.250 0.750
Ir: 0.250 0.750 0.250
Ir: 0.250 0.750 0.750
Ir: 0.750 0.250 0.250
Ir: 0.750 0.250 0.750
Ir: 0.750 0.750 0.250
Ir: 0.750 0.750 0.750
Pb: 0.000 0.000 0.500
Pb: 0.000 0.500 0.000
Pb: 0.500 0.000 0.000
Pb: 0.500 0.500 0.500


Short version: version B is the most stable of them.


Version A
Entry from the Alexandria database: a geometry-optimized TlIr2Pb structure (PBE).

Summary:
symmetry	Pm (6)

abc: 4.051 4.182 5.449
angles: 90.00 111.76 90.00
Element x y z (fractional)
Tl: 0.000 0.000 0.000
Ir: 0.582 0.500 0.169
Ir: 0.720 0.000 0.434
Pb: 0.302 0.500 0.604


Version B
Entry from the Alexandria database: a geometry-optimized TlIr2Pb structure (PBE).

Summary:
symmetry	C2/m (12)

abc: 6.332 7.563 3.171
angles: 90.00 90.33 90.00
Element x y z (fractional)
Tl: 0.000 0.000 0.000
Tl: 0.500 0.500 0.000
Ir: 0.250 0.250 0.500
Ir: 0.250 0.750 0.500
Ir: 0.750 0.250 0.500
Ir: 0.750 0.750 0.500
Pb: 0.000 0.500 0.000
Pb: 0.500 0.000 0.000


Version C
Entry from the Alexandria database: a geometry-optimized TlIr2Pb structure (PBE).

Summary:
symmetry	R-3m (166)

abc: 3.233 3.233 25.844
angles: 90.00 90.00 120.00
Element x y z (fractional)
Tl: 0.000 0.000 0.000
Tl: 0.333 0.667 0.667
Tl: 0.667 0.333 0.333
Ir: 0.000 0.000 0.250
Ir: 0.000 0.000 0.750
Ir: 0.333 0.667 0.417
Ir: 0.333 0.667 0.916
Ir: 0.667 0.333 0.084
Ir: 0.667 0.333 0.583
Pb: 0.000 0.000 0.500
Pb: 0.333 0.667 0.167
Pb: 0.667 0.333 0.833


Short version: version A is the most stable of them.


Version A
Entry from the Alexandria database: a geometry-optimized TlIr2Pb structure (PBE).

Summary:
symmetry	I4/mmm (139)

abc: 4.488 4.488 7.540
angles: 90.00 90.00 90.00
Element x y z (fractional)
Tl: 0.000 0.000 0.000
Tl: 0.500 0.500 0.500
Ir: 0.000 0.500 0.250
Ir: 0.000 0.500 0.750
Ir: 0.500 0.000 0.250
Ir: 0.500 0.000 0.750
Pb: 0.000 0.000 0.500
Pb: 0.500 0.500 0.000


Version B
Entry from the Alexandria database: a geometry-optimized TlIr2Pb structure (PBE).

Summary:
symmetry	R3m (160)

abc: 3.042 3.042 32.511
angles: 90.00 90.00 120.00
Element x y z (fractional)
Tl: 0.000 0.000 0.000
Tl: 0.333 0.667 0.667
Tl: 0.667 0.333 0.333
Ir: 0.000 0.000 0.255
Ir: 0.000 0.000 0.527
Ir: 0.333 0.667 0.194
Ir: 0.333 0.667 0.922
Ir: 0.667 0.333 0.589
Ir: 0.667 0.333 0.861
Pb: 0.000 0.000 0.785
Pb: 0.333 0.667 0.452
Pb: 0.667 0.333 0.119


Short version: version A is the most stable of them.


Version A
Entry from the Alexandria database: a geometry-optimized TlIr2Pb structure (PBE).

Summary:
symmetry	I-4m2 (119)

abc: 3.945 3.945 9.986
angles: 90.00 90.00 90.00
Element x y z (fractional)
Tl: 0.000 0.000 0.000
Tl: 0.500 0.500 0.500
Ir: 0.000 0.000 0.500
Ir: 0.000 0.500 0.750
Ir: 0.500 0.000 0.250
Ir: 0.500 0.500 0.000
Pb: 0.000 0.500 0.250
Pb: 0.500 0.000 0.750


Version B
Entry from the Alexandria database: a geometry-optimized TlIr2Pb structure (PBE).

Summary:
symmetry	Cm (8)

abc: 10.566 2.968 5.350
angles: 90.00 107.10 90.00
Element x y z (fractional)
Tl: 0.000 0.000 0.000
Tl: 0.500 0.500 0.000
Ir: 0.258 0.500 0.138
Ir: 0.435 0.000 0.472
Ir: 0.758 0.000 0.138
Ir: 0.935 0.500 0.472
Pb: 0.195 0.000 0.626
Pb: 0.695 0.500 0.626


Version C
Entry from the Alexandria database: a geometry-optimized TlIr2Pb structure (PBE).

Summary:
symmetry	P4mm (99)

abc: 3.194 3.194 8.618
angles: 90.00 90.00 90.00
Element x y z (fractional)
Tl: 0.000 0.000 0.000
Ir: 0.000 0.000 0.404
Ir: 0.500 0.500 0.252
Pb: 0.500 0.500 0.644


Short version: version C is the most stable of them.


Version A
Entry from the Alexandria database: a geometry-optimized Tl2IrPb structure (PBE).

Summary:
symmetry	R-3m (166)

abc: 3.320 3.320 31.405
angles: 90.00 90.00 120.00
Element x y z (fractional)
Tl: 0.000 0.000 0.235
Tl: 0.000 0.000 0.765
Tl: 0.333 0.667 0.432
Tl: 0.333 0.667 0.901
Tl: 0.667 0.333 0.099
Tl: 0.667 0.333 0.568
Ir: 0.000 0.000 0.500
Ir: 0.333 0.667 0.167
Ir: 0.667 0.333 0.833
Pb: 0.000 0.000 0.000
Pb: 0.333 0.667 0.667
Pb: 0.667 0.333 0.333


Version B
Entry from the Alexandria database: a geometry-optimized Tl2IrPb structure (PBE).

Summary:
symmetry	Fm-3m (225)

abc: 7.260 7.260 7.260
angles: 90.00 90.00 90.00
Element x y z (fractional)
Tl: 0.250 0.250 0.250
Tl: 0.250 0.250 0.750
Tl: 0.250 0.750 0.250
Tl: 0.250 0.750 0.750
Tl: 0.750 0.250 0.250
Tl: 0.750 0.250 0.750
Tl: 0.750 0.750 0.250
Tl: 0.750 0.750 0.750
Ir: 0.000 0.000 0.000
Ir: 0.000 0.500 0.500
Ir: 0.500 0.000 0.500
Ir: 0.500 0.500 0.000
Pb: 0.000 0.000 0.500
Pb: 0.000 0.500 0.000
Pb: 0.500 0.000 0.000
Pb: 0.500 0.500 0.500


Version C
Entry from the Alexandria database: a geometry-optimized Tl2IrPb structure (PBE).

Summary:
symmetry	Immm (71)

abc: 3.196 4.756 13.983
angles: 90.00 90.00 90.00
Element x y z (fractional)
Tl: 0.000 0.000 0.184
Tl: 0.000 0.000 0.816
Tl: 0.500 0.500 0.316
Tl: 0.500 0.500 0.684
Ir: 0.000 0.500 0.500
Ir: 0.500 0.000 0.000
Pb: 0.000 0.500 0.000
Pb: 0.500 0.000 0.500


Short version: version C is the most stable of them.


Version A
Entry from the Alexandria database: a geometry-optimized Tl2IrPb structure (PBE).

Summary:
symmetry	Imm2 (44)

abc: 3.179 4.707 13.960
angles: 90.00 90.00 90.00
Element x y z (fractional)
Tl: 0.000 0.000 0.000
Tl: 0.000 0.500 0.179
Tl: 0.500 0.000 0.679
Tl: 0.500 0.500 0.500
Ir: 0.000 0.500 0.686
Ir: 0.500 0.000 0.186
Pb: 0.000 0.000 0.360
Pb: 0.500 0.500 0.860


Version B
Entry from the Alexandria database: a geometry-optimized Tl2IrPb structure (PBE).

Summary:
symmetry	P4/mmm (123)

abc: 4.304 4.304 5.308
angles: 90.00 90.00 90.00
Element x y z (fractional)
Tl: 0.000 0.500 0.000
Tl: 0.500 0.000 0.000
Ir: 0.000 0.000 0.500
Pb: 0.500 0.500 0.500


Short version: version A is the most stable of them.


Version A
Entry from the Alexandria database: a geometry-optimized Tl2IrPb structure (PBE).

Summary:
symmetry	P4/mmm (123)

abc: 3.243 3.243 9.338
angles: 90.00 90.00 90.00
Element x y z (fractional)
Tl: 0.000 0.000 0.196
Tl: 0.000 0.000 0.804
Ir: 0.500 0.500 0.000
Pb: 0.500 0.500 0.500


Version B
Entry from the Alexandria database: a geometry-optimized Tl2IrPb structure (PBE).

Summary:
symmetry	Pmm2 (25)

abc: 3.318 3.329 9.174
angles: 90.00 90.00 90.00
Element x y z (fractional)
Tl: 0.000 0.000 0.000
Tl: 0.500 0.500 0.289
Ir: 0.000 0.000 0.486
Pb: 0.500 0.500 0.674


Version C
Entry from the Alexandria database: a geometry-optimized Tl2IrPb structure (PBE).

Summary:
symmetry	Cmmm (65)

abc: 5.314 12.971 3.210
angles: 90.00 90.00 90.00
Element x y z (fractional)
Tl: 0.000 0.183 0.000
Tl: 0.000 0.817 0.000
Tl: 0.500 0.317 0.000
Tl: 0.500 0.683 0.000
Ir: 0.000 0.000 0.500
Ir: 0.500 0.500 0.500
Pb: 0.000 0.500 0.500
Pb: 0.500 0.000 0.500


Short version: version B is the most stable of them.


Version A
Entry from the Alexandria database: a geometry-optimized Tl2IrPb structure (PBE).

Summary:
symmetry	Cm (8)

abc: 7.432 3.264 8.897
angles: 90.00 97.89 90.00
Element x y z (fractional)
Tl: 0.000 0.000 0.000
Tl: 0.238 0.000 0.706
Tl: 0.500 0.500 0.000
Tl: 0.738 0.500 0.706
Ir: 0.003 0.500 0.506
Ir: 0.503 0.000 0.506
Pb: 0.267 0.500 0.317
Pb: 0.767 0.000 0.317


Version B
Entry from the Alexandria database: a geometry-optimized Tl2IrPb structure (PBE).

Summary:
symmetry	Cmmm (65)

abc: 6.291 9.029 3.384
angles: 90.00 90.00 90.00
Element x y z (fractional)
Tl: 0.250 0.250 0.000
Tl: 0.250 0.750 0.000
Tl: 0.750 0.250 0.000
Tl: 0.750 0.750 0.000
Ir: 0.000 0.000 0.500
Ir: 0.500 0.500 0.500
Pb: 0.000 0.500 0.500
Pb: 0.500 0.000 0.500


Short version: version A is the most stable of them.


Version A
Entry from the Alexandria database: a geometry-optimized Tl2IrPb structure (PBE).

Summary:
symmetry	I-42d (122)

abc: 9.471 9.471 5.260
angles: 90.00 90.00 90.00
Element x y z (fractional)
Tl: 0.143 0.250 0.125
Tl: 0.250 0.643 0.375
Tl: 0.250 0.857 0.875
Tl: 0.357 0.250 0.625
Tl: 0.643 0.750 0.625
Tl: 0.750 0.143 0.875
Tl: 0.750 0.357 0.375
Tl: 0.857 0.750 0.125
Ir: 0.000 0.000 0.000
Ir: 0.000 0.500 0.250
Ir: 0.500 0.000 0.750
Ir: 0.500 0.500 0.500
Pb: 0.000 0.000 0.500
Pb: 0.000 0.500 0.750
Pb: 0.500 0.000 0.250
Pb: 0.500 0.500 0.000


Version B
Entry from the Alexandria database: a geometry-optimized Tl2IrPb structure (PBE).

Summary:
symmetry	C2/m (12)

abc: 5.964 10.936 3.500
angles: 90.00 121.22 90.00
Element x y z (fractional)
Tl: 0.250 0.250 0.000
Tl: 0.250 0.750 0.000
Tl: 0.750 0.250 0.000
Tl: 0.750 0.750 0.000
Ir: 0.000 0.000 0.500
Ir: 0.500 0.500 0.500
Pb: 0.000 0.500 0.500
Pb: 0.500 0.000 0.500


Short version: version A is the most stable of them.